(1)
NaLaGePb: optimized geometry, PBE.

Lattice parameters (Å, degrees): 5.3861 5.3861 5.3861 60.00 60.00 60.00
Last column: nearest neighbours and their distance in Å.
Element x y z (fractional)
Na (0.5000, 0.5000, 0.5000)  4 Pb 3.30, 4 Ge 3.30
La (0.0000, 0.0000, 0.0000)  4 Ge 3.30, 4 Pb 3.30
Ge (0.2500, 0.2500, 0.2500)  4 La 3.30, 4 Na 3.30
Pb (0.7500, 0.7500, 0.7500)  4 Na 3.30, 4 La 3.30

Properties
N(E_F): 3.31 states/eV/cell
Formation energy from the elements: -296 meV per atom
Raw total energy: -15.8 eV per cell

=====

(2)
Pm2Ga4IrPt3: optimized geometry, PBE.

Lattice parameters (Å, degrees): 4.2475 4.2475 10.5649 90.00 90.00 90.00
Last column: nearest neighbours and their distance in Å.
Element x y z (fractional)
Pt (0.5000, 0.0000, 0.8654)  5 Ga 2.49-2.56
Ga (0.0000, 0.0000, 0.0000)  4 Pt 2.56
Ga (0.0000, 0.5000, 0.3705)  3 Pt 2.49-2.53, 2 Ir 2.53
Ir (0.5000, 0.5000, 0.5000)  4 Ga 2.53
Ga (0.5000, 0.5000, 0.0000)  4 Pt 2.56
Pt (0.0000, 0.5000, 0.1346)  5 Ga 2.49-2.56
Ga (0.5000, 0.0000, 0.6295)  3 Pt 2.49-2.53, 2 Ir 2.53
Pm (0.0000, 0.5000, 0.7458)  8 Ga 3.24-3.42, 6 Pt 3.26-3.35, 2 Ir 3.35
Pm (0.5000, 0.0000, 0.2542)  8 Ga 3.24-3.42, 6 Pt 3.26-3.35, 2 Ir 3.35
Pt (0.0000, 0.0000, 0.5000)  4 Ga 2.53

Properties
N(E_F): 6.79 states/eV/cell
Formation energy from the elements: -920 meV per atom
Raw total energy: -57.8 eV per cell

=====

(3)
Pm2SmGeN4: optimized geometry, PBE.

Lattice parameters (Å, degrees): 3.5959 6.0821 12.0070 90.00 90.00 107.19
Last column: nearest neighbours and their distance in Å.
Element x y z (fractional)
Pm (0.6306, 0.2611, 0.0445)  6 N 2.40-2.67
Ge (0.1639, 0.3277, 0.2500)  4 N 1.90-2.06
N (0.5766, 0.1533, 0.2500)  2 Ge 2.06
Pm (0.3694, 0.7389, 0.5445)  6 N 2.40-2.67
N (0.7259, 0.4519, 0.6327)  1 Ge 1.90
N (0.4234, 0.8467, 0.7500)  2 Ge 2.06
Sm (0.1028, 0.2056, 0.7500)  6 N 2.69-2.75
Pm (0.3694, 0.7389, 0.9555)  6 N 2.40-2.67
Ge (0.8361, 0.6723, 0.7500)  4 N 1.90-2.06
N (0.7259, 0.4519, 0.8673)  1 Ge 1.90
Pm (0.6306, 0.2611, 0.4555)  6 N 2.40-2.67
N (0.2741, 0.5481, 0.3673)  1 Ge 1.90
N (0.0000, 0.0000, 0.0000)  4 Pm 2.41
Sm (0.8972, 0.7944, 0.2500)  6 N 2.69-2.75
N (0.2741, 0.5481, 0.1327)  1 Ge 1.90
N (0.0000, 0.0000, 0.5000)  4 Pm 2.41

Properties
N(E_F): 2.08 states/eV/cell
Raw total energy: -119.1 eV per cell

=====

- N(E_F) of number 2 (Pm2Ga4IrPt3)?
  6.79 states/eV/cell

=====

- Which value of N(E_F) does entry 1 give?
  3.31 states/eV/cell

=====

Please write out number 2 again, unchanged.
Pm2Ga4IrPt3: optimized geometry, PBE.

Lattice parameters (Å, degrees): 4.2475 4.2475 10.5649 90.00 90.00 90.00
Last column: nearest neighbours and their distance in Å.
Element x y z (fractional)
Pt (0.5000, 0.0000, 0.8654)  5 Ga 2.49-2.56
Ga (0.0000, 0.0000, 0.0000)  4 Pt 2.56
Ga (0.0000, 0.5000, 0.3705)  3 Pt 2.49-2.53, 2 Ir 2.53
Ir (0.5000, 0.5000, 0.5000)  4 Ga 2.53
Ga (0.5000, 0.5000, 0.0000)  4 Pt 2.56
Pt (0.0000, 0.5000, 0.1346)  5 Ga 2.49-2.56
Ga (0.5000, 0.0000, 0.6295)  3 Pt 2.49-2.53, 2 Ir 2.53
Pm (0.0000, 0.5000, 0.7458)  8 Ga 3.24-3.42, 6 Pt 3.26-3.35, 2 Ir 3.35
Pm (0.5000, 0.0000, 0.2542)  8 Ga 3.24-3.42, 6 Pt 3.26-3.35, 2 Ir 3.35
Pt (0.0000, 0.0000, 0.5000)  4 Ga 2.53

Properties
N(E_F): 6.79 states/eV/cell
Formation energy from the elements: -920 meV per atom
Raw total energy: -57.8 eV per cell